Below is a relaxed structure of La4AlCl5, with properties calculated at the PBE level.

Its energy relative to the elements, uncorrected is -1.653 eV per atom. For the density of states at the Fermi level, the calculation gives 10.0 states/eV/cell. As for the electronic total energy: -49.211 eV per formula unit.

The structure belongs to space group C2/m (No. 12); the cell edges are 18.7611, 4.1424 and 8.8690 Å and the angles 90.00°, 105.08° and 90.00°. Symmetry generates all atoms from La at (0.0011, 0.0000, 0.2458), La at (0.1617, 0.5000, 0.0950), Al at (0.0000, 0.5000, 0.0000), Cl at (0.0000, 0.5000, 0.5000), Cl at (0.1678, 0.0000, 0.3254) and Cl at (0.1690, 0.0000, 0.8582).

***

Below is a relaxed structure of PuVCu, with properties calculated at the PBE level.

Its formation energy from the elements is 229 meV per atom. For the density of states at the Fermi level, the calculation gives 11.1 states/eV/cell. As for the electronic total energy: -26.859 eV per formula unit.

The structure belongs to space group P-1 (No. 2); the cell edges are 2.8017, 3.8952 and 9.6177 Å and the angles 90.05°, 97.50° and 90.01°. Symmetry generates all atoms from Pu at (0.1167, 0.2495, 0.2476), V at (0.3116, 0.2503, 0.9419) and Cu at (0.2814, 0.2500, 0.5534).

***

Below is a relaxed structure of U3Ge3Ru2, with properties calculated at the PBE level.

Its formation energy from the elements is -308 meV per atom. For the density of states at the Fermi level, the calculation gives 59.7 states/eV/cell. As for the electronic total energy: -68.734 eV per formula unit.

The structure belongs to space group Pnma (No. 62); the cell edges are 7.8937, 14.4105 and 5.4994 Å and the angles 90.00°, 90.00° and 90.00°. Symmetry generates all atoms from U at (0.0286, 0.1068, 0.1115), U at (0.1617, 0.2500, 0.6445), Ge at (0.1899, 0.0340, 0.6039), Ge at (0.1930, 0.7500, 0.6493) and Ru at (0.0909, 0.6174, 0.3650).

***

Below is a relaxed structure of Mn4RuN4, with properties calculated at the PBE level.

Its energy relative to the elements, uncorrected is -0.057 eV per atom. For the density of states at the Fermi level, the calculation gives 14.8 states/eV/cell. As for the electronic total energy: -79.772 eV per formula unit.

The structure belongs to space group P-1 (No. 2); the cell edges are 5.3236, 5.6301 and 7.1981 Å and the angles 71.20°, 79.11° and 62.18°. Symmetry generates all atoms from Mn at (0.2010, 0.4909, 0.2294), Mn at (0.2054, 0.8622, 0.4030), Mn at (0.2647, 0.9994, 0.9997), Mn at (0.2856, 0.1299, 0.5941), Ru at (0.3284, 0.4519, 0.7674), N at (0.0079, 0.8817, 0.1926), N at (0.0279, 0.2486, 0.3834), N at (0.3605, 0.2586, 0.0436) and N at (0.4695, 0.7484, 0.6088).

***

Below is a relaxed structure of ScSn2Pd6, with properties calculated at the PBE level.

Its formation energy from the elements is -604 meV per atom. For the density of states at the Fermi level, the calculation gives 3.4 states/eV/cell. As for the electronic total energy: -50.928 eV per formula unit.

The structure belongs to space group P-62m (No. 189); the cell edges are 7.5584, 7.5584 and 3.1338 Å and the angles 90.00°, 90.00° and 120.00°. Symmetry generates all atoms from Sc at (0.0000, 0.0000, 0.0000), Sn at (0.3333, 0.6667, 0.5000), Pd at (0.0000, 0.3615, 0.0000) and Pd at (0.0000, 0.7077, 0.5000).

***

Below is a relaxed structure of Sm3Ho12Tl, with properties calculated at the PBE level.

Its formation energy from the elements is -21 meV per atom. For the density of states at the Fermi level, the calculation gives 19.3 states/eV/cell. As for the electronic total energy: -71.799 eV per formula unit.

The structure belongs to space group P4/mmm (No. 123); the cell edges are 4.9534, 4.9534 and 20.1269 Å and the angles 90.00°, 90.00° and 90.00°. Symmetry generates all atoms from Sm at (0.0000, 0.0000, 0.0000), Sm at (0.0000, 0.0000, 0.2514), Ho at (0.0000, 0.5000, 0.1265), Ho at (0.0000, 0.5000, 0.3790), Ho at (0.5000, 0.5000, 0.0000), Ho at (0.5000, 0.5000, 0.2562), Ho at (0.5000, 0.5000, 0.5000) and Tl at (0.0000, 0.0000, 0.5000).

***

Below is a relaxed structure of Cd17Hg12, with properties calculated at the PBE level.

Its formation energy from the elements is 64 meV per atom. For the density of states at the Fermi level, the calculation gives 33.1 states/eV/cell. As for the electronic total energy: -17.324 eV per formula unit.

The structure belongs to space group I-43m (No. 217); the cell edges are 11.2224, 11.2224 and 11.2224 Å and the angles 90.00°, 90.00° and 90.00°. Symmetry generates all atoms from Cd at (0.0000, 0.0000, 0.0000), Cd at (0.0652, 0.3685, 0.3685), Cd at (0.1554, 0.1554, 0.8446) and Hg at (0.1049, 0.1049, 0.2985).

***

Below is a relaxed structure of LaNbSi2, with properties calculated at the PBE level.

Its energy relative to the elements, uncorrected is -0.054 eV per atom. For the density of states at the Fermi level, the calculation gives 2.9 states/eV/cell. As for the electronic total energy: -26.060 eV per formula unit.

The structure belongs to space group I-42d (No. 122); the cell edges are 4.9079, 4.9079 and 17.1544 Å and the angles 90.00°, 90.00° and 90.00°. Symmetry generates all atoms from La at (0.0000, 0.0000, 0.0000), Nb at (0.0000, 0.0000, 0.5000) and Si at (0.0048, 0.2500, 0.6250).